VASP calculation (PBE with a Hubbard U) on NaPuNiF6 after structural relaxation.

The structure in CIF format:
```
data_NaPuNiF6
_space_group_name_H-M_alt 'P 1'
_space_group_IT_number 1
_space_group_name_Hall 'P 1'
_cell_length_a 5.722
_cell_length_b 5.722
_cell_length_c 9.037
_cell_angle_alpha 90.00
_cell_angle_beta 90.00
_cell_angle_gamma 120.00
loop_
_atom_site_label
_atom_site_fract_x
_atom_site_fract_y
_atom_site_fract_z
_atom_site_occupancy
Na1 0.333 0.667 0.250 1
Na2 0.667 0.333 0.750 1
Pu1 0.333 0.667 0.750 1
Pu2 0.667 0.333 0.250 1
Ni1 0.000 0.000 0.000 1
Ni2 0.000 0.000 0.500 1
F1 0.002 0.306 0.621 1
F2 0.002 0.696 0.879 1
F3 0.304 0.306 0.879 1
F4 0.304 0.998 0.621 1
F5 0.306 0.002 0.121 1
F6 0.306 0.304 0.379 1
F7 0.694 0.696 0.621 1
F8 0.694 0.998 0.879 1
F9 0.696 0.002 0.379 1
F10 0.696 0.694 0.121 1
F11 0.998 0.304 0.121 1
F12 0.998 0.694 0.379 1
```

Properties
Crystal system: trigonal
Calculated total energy: -6.14 eV/atom
D(E_F): 0.730 states/eV per atom
Magnetization: 6.000 μB/cell